Computed, not measured: a geometry-optimized InTc2MoF structure at the PBE with a Hubbard U level of DFT.

a b c (Å): 5.178 5.421 5.178
angles (deg): 90.00 90.00 90.00
Site moments in Bohr magnetons follow the coordinates.
Element x y z (fractional)
Tc  0.000  0.000  0.500  3.05
Tc  0.500  0.000  0.000  2.85
In  0.000  0.000  0.000  -0.08
Mo  0.000  0.500  0.000  2.52
F  0.500  0.500  0.500  0.12

## Properties
**Space group**: P4/mmm
**Total energy**: -4.297 eV per atom
**Total moment**: 9.8 μB per formula unit